No. 1
First-principles (PBE) data for crystalline Tb2MgIn3 at its relaxed geometry, as listed in Alexandria.

a = 9.959 Å, b = 9.321 Å, c = 6.115 Å
α = 77.28°, β = 65.92°, γ = 36.80°
Fractional coordinates of all 12 atoms:
Tb (0.248, 0.752, 0.752)
Tb (0.250, 0.250, 0.250)
Tb (0.750, 0.750, 0.750)
Tb (0.752, 0.248, 0.248)
Mg (0.332, 0.332, 0.668)
Mg (0.668, 0.668, 0.332)
In (0.168, 0.168, 0.832)
In (0.168, 0.663, 0.337)
In (0.337, 0.832, 0.168)
In (0.663, 0.168, 0.832)
In (0.832, 0.337, 0.663)
In (0.832, 0.832, 0.168)

## Properties
Calculated volume   304.5 Å³ per cell
E_form   -0.407 eV per atom
Size of the total moment   0.0 μB per formula unit

---

No. 2
First-principles (PBE) data for crystalline NaHf3S at its relaxed geometry, as listed in Alexandria.

a = 4.946 Å, b = 4.946 Å, c = 4.946 Å
α = 90.00°, β = 90.00°, γ = 90.00°
Fractional coordinates of all 5 atoms:
Na (0.000, 0.000, 0.000)
Hf (0.000, 0.000, 0.500)
Hf (0.000, 0.500, 0.000)
Hf (0.500, 0.000, 0.000)
S (0.500, 0.500, 0.500)

## Properties
Formation energy (no corrections)   1.695 eV per atom
E above lowest polymorph   1731 meV/atom
Calculated volume   121.0 Å³ per cell
Size of the total moment   0.0 μB per formula unit

---

Question: Look up the size of the total moment of the second one.
Answer: 0.0 μB per formula unit